[1]
## Ca2BAsPd6 (PBE)

Data for a relaxed Ca2BAsPd6 crystal.

## Properties
Size of the total moment: 0.00 μB per cell

Cell lengths 5.812, 8.747, 7.116 Å; angles 90.00, 90.00, 90.00 degrees
Sites, in units of the cell vectors:
Ca (0.250, 0.034, 0.217)
Ca (0.250, 0.466, 0.217)
Ca (0.750, 0.534, 0.783)
Ca (0.750, 0.966, 0.783)
B (0.250, 0.250, 0.693)
B (0.750, 0.750, 0.307)
As (0.250, 0.750, 0.814)
As (0.750, 0.250, 0.186)
Pd (0.002, 0.750, 0.097)
Pd (0.013, 0.750, 0.504)
Pd (0.250, 0.009, 0.661)
Pd (0.250, 0.491, 0.661)
Pd (0.487, 0.750, 0.504)
Pd (0.498, 0.750, 0.097)
Pd (0.502, 0.250, 0.903)
Pd (0.513, 0.250, 0.496)
Pd (0.750, 0.509, 0.339)
Pd (0.750, 0.991, 0.339)
Pd (0.987, 0.250, 0.496)
Pd (0.998, 0.250, 0.903)


[2]
## Ca3B2AsPd9 (PBE)

Data for a relaxed Ca3B2AsPd9 crystal.

## Properties
Size of the total moment: 0.00 μB per cell

Cell lengths 5.911, 5.911, 8.691 Å; angles 90.00, 90.00, 120.00 degrees
Sites, in units of the cell vectors:
Ca (0.000, 0.000, 0.000)
Ca (0.333, 0.667, 0.628)
Ca (0.667, 0.333, 0.372)
B (0.333, 0.667, 0.148)
B (0.667, 0.333, 0.852)
As (0.000, 0.000, 0.500)
Pd (0.000, 0.500, 0.000)
Pd (0.165, 0.330, 0.283)
Pd (0.165, 0.835, 0.283)
Pd (0.330, 0.165, 0.717)
Pd (0.500, 0.000, 0.000)
Pd (0.500, 0.500, 0.000)
Pd (0.670, 0.835, 0.283)
Pd (0.835, 0.165, 0.717)
Pd (0.835, 0.670, 0.717)


[3]
## Ca3B2AsPt9 (PBE)

Data for a relaxed Ca3B2AsPt9 crystal.

## Properties
Size of the total moment: 0.00 μB per cell

Cell lengths 5.814, 5.814, 8.987 Å; angles 90.00, 90.00, 120.00 degrees
Sites, in units of the cell vectors:
Ca (0.000, 0.000, 0.000)
Ca (0.333, 0.667, 0.611)
Ca (0.667, 0.333, 0.389)
B (0.333, 0.667, 0.151)
B (0.667, 0.333, 0.849)
As (0.000, 0.000, 0.500)
Pt (0.000, 0.500, 0.000)
Pt (0.163, 0.326, 0.285)
Pt (0.163, 0.837, 0.285)
Pt (0.326, 0.163, 0.715)
Pt (0.500, 0.000, 0.000)
Pt (0.500, 0.500, 0.000)
Pt (0.674, 0.837, 0.285)
Pt (0.837, 0.163, 0.715)
Pt (0.837, 0.674, 0.715)


[4]
## CaBAs2Pt (PBE)

Data for a relaxed CaBAs2Pt crystal.

## Properties
Size of the total moment: 0.00 μB per cell

Cell lengths 4.838, 4.838, 5.422 Å; angles 90.00, 90.00, 90.00 degrees
Sites, in units of the cell vectors:
Ca (0.000, 0.000, 0.000)
B (0.500, 0.500, 0.000)
As (0.000, 0.500, 0.500)
As (0.500, 0.000, 0.500)
Pt (0.000, 0.000, 0.500)


[5]
## CaBAsRh3 (PBE)

Data for a relaxed CaBAsRh3 crystal.

## Properties
Size of the total moment: 0.00 μB per cell

Cell lengths 6.732, 6.732, 5.783 Å; angles 90.00, 90.00, 129.52 degrees
Sites, in units of the cell vectors:
Ca (0.247, 0.753, 0.750)
Ca (0.753, 0.247, 0.250)
B (0.482, 0.518, 0.250)
B (0.518, 0.482, 0.750)
As (0.122, 0.878, 0.250)
As (0.878, 0.122, 0.750)
Rh (0.248, 0.248, 0.000)
Rh (0.248, 0.248, 0.500)
Rh (0.314, 0.686, 0.250)
Rh (0.686, 0.314, 0.750)
Rh (0.752, 0.752, 0.000)
Rh (0.752, 0.752, 0.500)


[6]
## CaBAsSe2 (PBE)

Data for a relaxed CaBAsSe2 crystal.

## Properties
Formation energy (no corrections): 1216 meV/atom
Size of the total moment: 0.00 μB per cell

Cell lengths 5.424, 5.424, 5.422 Å; angles 90.00, 90.00, 90.00 degrees
Sites, in units of the cell vectors:
Ca (0.000, 0.000, 0.000)
B (0.500, 0.500, 0.500)
As (0.000, 0.000, 0.500)
Se (0.000, 0.500, 0.000)
Se (0.500, 0.000, 0.000)


Number 1: raw total energy -0.194 hartree per atom. Number 2: raw total energy -0.196 hartree per atom. Number 3: raw total energy -0.217 hartree per atom. Number 4: raw total energy -0.148 hartree per atom. Number 5: raw total energy -0.237 hartree per atom. Number 6: raw total energy -0.104 hartree per atom.